VASP calculation (PBE) on crystalline Cs3Tl4Hg4 at its relaxed geometry.

Calculated values
V = 428.13 Å³/f.u.
Crystal system = orthorhombic
Offset from the most stable computed form = 0 meV/atom
ΔE_f = -0.141 eV/atom
Total DFT energy (no corrections) = -1.3444 eV/atom

Lattice parameters (Å, degrees): 10.4465 10.4465 10.4465 150.93 128.83 59.93
With the nearest neighbours (Å) after each atom.
Sites, in units of the cell vectors:
Cs: 0.1241 0.1241 0.0000  6 Hg 3.85-3.86, 6 Tl 3.95-3.98
Cs: 0.8759 0.8759 0.0000  6 Hg 3.85-3.86, 6 Tl 3.95-3.98
Cs: 0.5000 0.0000 0.5000  6 Hg 3.84-3.97
Tl: 0.1321 0.3224 0.8096  4 Hg 3.22-3.39, 1 Tl 3.43
Tl: 0.4872 0.6776 0.8096  4 Hg 3.22-3.39, 1 Tl 3.43
Tl: 0.8679 0.6776 0.1904  4 Hg 3.22-3.39, 1 Tl 3.43
Tl: 0.5128 0.3224 0.1904  4 Hg 3.22-3.39, 1 Tl 3.43
Hg: 0.7192 0.2192 0.5000  6 Tl 3.22-3.36
Hg: 0.2808 0.7808 0.5000  6 Tl 3.22-3.36
Hg: 0.8110 0.5000 0.3110  2 Tl 3.39, 1 Hg 3.41
Hg: 0.1890 0.5000 0.6890  2 Tl 3.39, 1 Hg 3.41